Entry from Alexandria via LeMat-Bulk: ZrCuPb2O5 after structural relaxation (PBE-GGA).

```
data_ZrCuPb2O5
_space_group_name_H-M_alt 'P 1'
_space_group_IT_number 1
_cell_length_a 8.315
_cell_length_b 8.315
_cell_length_c 10.359
_cell_angle_alpha 90.00
_cell_angle_beta 90.00
_cell_angle_gamma 156.92
loop_
_space_group_symop_operation_xyz
'x,y,z'
loop_
_atom_site_label
_atom_site_type_symbol
_atom_site_fract_x
_atom_site_fract_y
_atom_site_fract_z
_atom_site_occupancy
Zr1 Zr 0.217 0.783 0.500 1
Zr2 Zr 0.783 0.217 0.000 1
Cu1 Cu 0.453 0.547 0.977 1
Cu2 Cu 0.547 0.453 0.477 1
Pb1 Pb 0.103 0.897 0.796 1
Pb2 Pb 0.135 0.865 0.180 1
Pb3 Pb 0.865 0.135 0.680 1
Pb4 Pb 0.897 0.103 0.296 1
O1 O 0.080 0.920 0.550 1
O2 O 0.279 0.721 0.134 1
O3 O 0.301 0.699 0.873 1
O4 O 0.343 0.657 0.511 1
O5 O 0.496 0.504 0.314 1
O6 O 0.504 0.496 0.814 1
O7 O 0.657 0.343 0.011 1
O8 O 0.699 0.301 0.373 1
O9 O 0.721 0.279 0.634 1
O10 O 0.920 0.080 0.050 1
```

Calculated values
space group: No. 36
total moment: 0.84 μB/f.u.
uncorrected energy: -6.56 eV per atom
V: 15.595 A^3/atom